1.
A plane-wave DFT calculation with PBE-GGA was carried out for crystalline DyY5Bi4 at its relaxed geometry.

The total energy is -115.19 eV per cell. The formation energy is -0.515 eV/atom.

The space group is C2/m (No. 12) and the conventional cell measures 18.987, 4.403 and 8.521 Å, with angles of 90.00, 106.19 and 90.00 degrees. The distinct sites, in fractional coordinates, are Dy at (0.000, 0.000, 0.000), Y at (0.000, 0.000, 0.500), Y at (0.162, 0.500, 0.812), Y at (0.182, 0.500, 0.352), Bi at (0.011, 0.500, 0.260) and Bi at (0.169, 0.000, 0.082).



2.
A plane-wave DFT calculation with PBE-GGA was carried out for crystalline NaAlSb2I at its relaxed geometry.

The total energy is -14.41 eV per cell. For the formation energy (no corrections), the calculation gives 0.09 eV per atom. The energy above the lowest structure with this stoichiometry is 0.000 eV per atom.

The space group is P4/mmm (No. 123) and the conventional cell measures 5.277, 5.277 and 6.298 Å, with angles of 90.00, 90.00 and 90.00 degrees. The distinct sites, in fractional coordinates, are Na at (0.000, 0.000, 0.000), Al at (0.500, 0.500, 0.500), Sb at (0.000, 0.500, 0.500) and I at (0.500, 0.500, 0.000).



> Number 2 is which compound?

NaAlSb2I



> Which formula does entry 2 have?

NaAlSb2I